[1]
The following is a DFT calculation (PBE) of a relaxed structure of Pm3ZrZn4.

The structure belongs to space group P4/mmm (No. 123); the cell edges are 3.5651, 3.5651 and 14.3905 Å and the angles 90.00°, 90.00° and 90.00°. The distinct sites, in fractional coordinates, are Pm at (0.0000, 0.0000, 0.0000), Pm at (0.0000, 0.0000, 0.2625), Zr at (0.0000, 0.0000, 0.5000), Zn at (0.5000, 0.5000, 0.1295) and Zn at (0.5000, 0.5000, 0.3976).

The value obtained for the formation energy is -0.276 eV/atom. The calculated total energy is -30.11 eV/f.u.

[2]
The following is a DFT calculation (PBE) of a relaxed structure of PmZr2Zn3.

The structure belongs to space group P4/mmm (No. 123); the cell edges are 3.4448, 3.4448 and 10.3050 Å and the angles 90.00°, 90.00° and 90.00°. The distinct sites, in fractional coordinates, are Pm at (0.0000, 0.0000, 0.0000), Zr at (0.0000, 0.0000, 0.3428), Zn at (0.5000, 0.5000, 0.1950) and Zn at (0.5000, 0.5000, 0.5000).

The value obtained for the formation energy is -0.260 eV/atom. The calculated total energy is -27.23 eV/f.u.

[3]
The following is a DFT calculation (PBE) of a relaxed structure of Pm2ZrZn5.

The structure belongs to space group I4/mmm (No. 139); the cell edges are 4.7463, 4.7463 and 14.3220 Å and the angles 90.00°, 90.00° and 90.00°. The distinct sites, in fractional coordinates, are Pm at (0.0000, 0.0000, 0.2359), Zr at (0.0000, 0.0000, 0.5000), Zn at (0.0000, 0.0000, 0.0000) and Zn at (0.0000, 0.5000, 0.1056).

The value obtained for the formation energy is -0.242 eV/atom. The calculated total energy is -26.36 eV/f.u.

[4]
The following is a DFT calculation (PBE) of a relaxed structure of Pm2ZrZn6.

The structure belongs to space group P6/mmm (No. 191); the cell edges are 7.8071, 7.8071 and 3.3918 Å and the angles 90.00°, 90.00° and 120.00°. The distinct sites, in fractional coordinates, are Pm at (0.3333, 0.6667, 0.0000), Zr at (0.0000, 0.0000, 0.0000) and Zn at (0.0000, 0.3236, 0.5000).

The value obtained for the formation energy is -0.307 eV/atom. The calculated total energy is -28.46 eV/f.u.

[5]
The following is a DFT calculation (PBE) of a relaxed structure of PmZr2Zn9.

The structure belongs to space group R-3m (No. 166, hexagonal axes); the cell edges are 5.3194, 5.3194 and 25.3384 Å and the angles 90.00°, 90.00° and 120.00°. The distinct sites, in fractional coordinates, are Pm at (0.0000, 0.0000, 0.0000), Zr at (0.0000, 0.0000, 0.1443), Zn at (0.0000, 0.0000, 0.3355), Zn at (0.0000, 0.0000, 0.5000) and Zn at (0.0079, 0.5039, 0.9143).

The value obtained for the formation energy is -0.299 eV/atom. The calculated total energy is -36.90 eV/f.u.

[6]
The following is a DFT calculation (PBE) of a relaxed structure of PmZrZn2.

The structure belongs to space group R-3m (No. 166, hexagonal axes); the cell edges are 3.4706, 3.4706 and 26.5593 Å and the angles 90.00°, 90.00° and 120.00°. The distinct sites, in fractional coordinates, are Pm at (0.0000, 0.0000, 0.0000), Zr at (0.0000, 0.0000, 0.5000) and Zn at (0.0000, 0.0000, 0.2436).

The value obtained for the energy above the lowest structure with this stoichiometry is 5.52 kcal/mol of atoms. The value obtained for the formation energy is -0.021 eV/atom. The calculated total energy is -15.93 eV/f.u.

[7]
The following is a DFT calculation (PBE) of a relaxed structure of Pm3Zr.

The structure belongs to space group I4/mmm (No. 139); the cell edges are 4.9911, 4.9911 and 9.8708 Å and the angles 90.00°, 90.00° and 90.00°. The distinct sites, in fractional coordinates, are Pm at (0.0000, 0.0000, 0.0000), Pm at (0.0000, 0.5000, 0.2500) and Zr at (0.0000, 0.0000, 0.5000).

The value obtained for the energy above the lowest structure with this stoichiometry is 0.04 kcal/mol of atoms. The value obtained for the formation energy is 0.132 eV/atom. The calculated total energy is -22.27 eV/f.u.

[8]
The following is a DFT calculation (PBE) of a relaxed structure of PmZr4.

The structure belongs to space group Pm-3m (No. 221); the cell edges are 5.1801, 5.1801 and 5.1801 Å and the angles 90.00°, 90.00° and 90.00°. The distinct sites, in fractional coordinates, are Pm at (0.0000, 0.0000, 0.0000), Zr at (0.0000, 0.0000, 0.5000) and Zr at (0.5000, 0.5000, 0.5000).

The value obtained for the formation energy is 1.257 eV/atom. The calculated total energy is -32.66 eV/f.u.